1.
Lu2Si9B36C | Alexandria via LeMat-Bulk | PBE | optimized geometry; theoretical density = 3.44 g/cm³; DFT total energy = -6.605 eV/atom
1.0
6.234 -5.052 0.000
6.234 5.052 0.000
-2.125 0.000 7.697
Lu Si B C
2 9 36 1
direct
0.249 0.751 0.000 Lu
0.751 0.249 0.000 Lu
0.205 0.205 0.543 Si
0.514 0.514 0.842 Si
0.517 0.904 0.245 Si
0.594 0.985 0.755 Si
0.682 0.682 0.071 Si
0.824 0.824 0.926 Si
0.904 0.517 0.245 Si
0.985 0.594 0.755 Si
0.988 0.988 0.162 Si
0.049 0.876 0.519 B
0.052 0.233 0.875 B
0.074 0.361 0.090 B
0.075 0.661 0.393 B
0.129 0.129 0.065 B
0.129 0.687 0.623 B
0.141 0.431 0.919 B
0.143 0.829 0.323 B
0.232 0.875 0.698 B
0.233 0.052 0.875 B
0.244 0.953 0.506 B
0.245 0.245 0.796 B
0.268 0.268 0.226 B
0.268 0.527 0.483 B
0.271 0.452 0.129 B
0.272 0.622 0.299 B
0.359 0.662 0.672 B
0.361 0.074 0.090 B
0.376 0.376 0.945 B
0.376 0.804 0.374 B
0.431 0.141 0.919 B
0.431 0.830 0.607 B
0.452 0.271 0.129 B
0.454 0.622 0.477 B
0.527 0.268 0.483 B
0.622 0.272 0.299 B
0.622 0.454 0.477 B
0.661 0.075 0.393 B
0.662 0.359 0.672 B
0.687 0.129 0.623 B
0.804 0.376 0.374 B
0.829 0.143 0.323 B
0.830 0.431 0.607 B
0.875 0.232 0.698 B
0.876 0.049 0.519 B
0.953 0.244 0.506 B
0.318 0.318 0.434 C


2.
KMg6Zn | Alexandria via LeMat-Bulk | PBE | optimized geometry; distance to the lowest polymorph of the same formula = 0 meV/atom; theoretical density = 2.04 g/cm³; N(E_F) = 1.434 states/eV/cell; DFT total energy = -1.339 eV/atom; formation energy = 0.153 eV/atom
1.0
5.263 0.000 0.000
0.000 3.282 5.893
0.000 -3.282 5.893
K Mg Zn
1 6 1
direct
0.000 0.000 0.000 K
0.000 0.473 0.473 Mg
0.000 0.490 0.987 Mg
0.000 0.987 0.490 Mg
0.500 0.145 0.621 Mg
0.500 0.621 0.145 Mg
0.500 0.638 0.638 Mg
0.500 0.176 0.176 Zn


3.
Sn3HgSbP | Alexandria via LeMat-Bulk | PBE | optimized geometry; theoretical density = 6.91 g/cm³; N(E_F) = 3.908 states/eV/cell; DFT total energy = -3.603 eV/atom
1.0
7.378 0.000 0.000
0.000 4.094 0.000
-2.608 0.000 11.284
Sn Hg Sb P
6 2 2 2
direct
0.043 0.250 0.178 Sn
0.231 0.250 0.516 Sn
0.426 0.750 0.821 Sn
0.574 0.250 0.179 Sn
0.769 0.750 0.484 Sn
0.957 0.750 0.822 Sn
0.357 0.750 0.318 Hg
0.643 0.250 0.682 Hg
0.236 0.250 0.948 Sb
0.764 0.750 0.052 Sb
0.119 0.750 0.630 P
0.881 0.250 0.370 P


4.
MnZnSb2 | Alexandria via LeMat-Bulk | PBE | optimized geometry; theoretical density = 5.63 g/cm³; N(E_F) = 12.976 states/eV/cell; DFT total energy = -4.186 eV/atom
1.0
-3.026 3.026 5.857
3.026 -3.026 5.857
3.026 3.026 -5.857
Mn Zn Sb
2 2 4
direct
0.000 0.000 0.000 Mn
0.750 0.250 0.500 Mn
0.250 0.750 0.500 Zn
0.500 0.500 0.000 Zn
0.090 0.625 0.965 Sb
0.375 0.340 0.465 Sb
0.660 0.125 0.035 Sb
0.875 0.910 0.535 Sb